No. 1
VASP calculation (PBE) on a relaxed CeMgCu crystal. Values from VASP.

ρ: 5115 kg/m³
energy of formation from the pure elements: 61 meV per atom
N(E_F): 2.235 states/eV/atom

Quantum ESPRESSO input file:
```
&SYSTEM
  ibrav = 0, nat = 3, ntyp = 3
/
ATOMIC_SPECIES
Ce 140.12 Ce.upf
Mg 24.30 Mg.upf
Cu 63.55 Cu.upf
CELL_PARAMETERS angstrom
0.000 3.332 3.332
3.332 0.000 3.332
3.332 3.332 0.000
ATOMIC_POSITIONS angstrom
Ce 0.000 0.000 0.000
Mg 3.332 3.332 3.332
Cu 4.999 4.999 4.999
```

No. 2
VASP calculation (PBE) on a relaxed CeMgCu crystal. Values from VASP.

ρ: 5703 kg/m³
energy of formation from the pure elements: -89 meV per atom
N(E_F): 1.632 states/eV/atom

Quantum ESPRESSO input file:
```
&SYSTEM
  ibrav = 0, nat = 9, ntyp = 3
/
ATOMIC_SPECIES
Ce 140.12 Ce.upf
Mg 24.30 Mg.upf
Cu 63.55 Cu.upf
CELL_PARAMETERS angstrom
7.455 0.000 0.000
-3.727 6.456 0.000
0.000 0.000 4.138
ATOMIC_POSITIONS angstrom
Ce -1.563 2.707 0.000
Ce 3.126 0.000 0.000
Ce 2.164 3.749 0.000
Mg -2.837 4.914 2.069
Mg 0.890 1.542 2.069
Mg 5.674 0.000 2.069
Cu 0.000 0.000 0.000
Cu 0.000 4.304 2.069
Cu 3.727 2.152 2.069
```

No. 3
VASP calculation (PBE) on a relaxed CeMg14Cu crystal. Values from VASP.

ρ: 2452 kg/m³
energy of formation from the pure elements: 54 meV per atom
N(E_F): 0.863 states/eV/atom

Quantum ESPRESSO input file:
```
&SYSTEM
  ibrav = 0, nat = 16, ntyp = 3
/
ATOMIC_SPECIES
Ce 140.12 Ce.upf
Mg 24.30 Mg.upf
Cu 63.55 Cu.upf
CELL_PARAMETERS angstrom
6.448 0.000 0.000
-3.224 5.584 0.000
0.000 0.000 10.231
ATOMIC_POSITIONS angstrom
Ce 0.000 0.000 0.000
Mg -1.531 2.839 0.000
Mg 0.000 1.813 2.712
Mg 0.000 1.813 7.519
Mg -1.654 4.678 2.712
Mg -1.654 4.678 7.519
Mg 1.531 2.839 0.000
Mg 0.000 5.491 0.000
Mg 3.224 0.044 5.115
Mg 1.650 2.770 5.115
Mg 3.224 1.861 2.409
Mg 3.224 1.861 7.822
Mg 1.654 4.678 2.712
Mg 1.654 4.678 7.519
Mg 4.798 2.770 5.115
Cu 0.000 0.000 5.115
```

No. 4
VASP calculation (PBE) on a relaxed CeMg4Cu2 crystal. Values from VASP.

ρ: 4078 kg/m³
energy of formation from the pure elements: -54 meV per atom
N(E_F): 1.341 states/eV/atom

Quantum ESPRESSO input file:
```
&SYSTEM
  ibrav = 0, nat = 7, ntyp = 3
/
ATOMIC_SPECIES
Ce 140.12 Ce.upf
Mg 24.30 Mg.upf
Cu 63.55 Cu.upf
CELL_PARAMETERS angstrom
2.131 -8.206 0.000
2.131 8.206 0.000
0.000 0.000 4.242
ATOMIC_POSITIONS angstrom
Ce 0.000 0.000 0.000
Mg 2.131 5.332 2.121
Mg 2.131 2.899 0.000
Mg 2.131 -2.899 0.000
Mg 2.131 -5.332 2.121
Cu 2.131 1.210 2.121
Cu 2.131 -1.210 2.121
```